Record 1
This record from Alexandria via LeMat-Bulk describes crystalline Nd4CuOs at its relaxed geometry. The functional is GGA-PBE.

Results
- formation energy from the elements (eV/atom) = -0.082
- density (Mg/m³) = 8.19
- final energy (eV per atom) = -5.82
- D(E_F) (states/eV/cell) = 28.53

a b c (Å): 9.099 13.570 6.365
angles (deg): 90.00 120.99 90.00
Space group C2/c (No. 15)
Asymmetric unit:
Nd 0.122 0.176 0.092 (multiplicity 8)
Nd 0.205 0.431 0.289 (multiplicity 8)
Cu 0.000 0.372 0.750 (multiplicity 4)
Os 0.000 0.001 0.750 (multiplicity 4)

---

Record 2
This record from Alexandria via LeMat-Bulk describes crystalline Nd12Cu6Os at its relaxed geometry. The functional is GGA-PBE.

Results
- formation energy from the elements (eV/atom) = 0.058
- density (Mg/m³) = 6.69
- final energy (eV per atom) = -4.84
- D(E_F) (states/eV/cell) = 77.82

a b c (Å): 12.6176 12.6176 12.4278
angles (deg): 90.00 90.00 120.00
Space group R-3 (No. 148, hexagonal axes)
Asymmetric unit:
Nd 0.0250 0.2014 0.3916 (multiplicity 18)
Nd 0.0403 0.1982 0.8764 (multiplicity 18)
Cu 0.0440 0.2715 0.6440 (multiplicity 18)
Os 0.0000 0.0000 0.0000 (multiplicity 3)

---

Record 3
This record from Alexandria via LeMat-Bulk describes crystalline Nd4CuOs at its relaxed geometry. The functional is GGA-PBE.

Results
- formation energy from the elements (eV/atom) = -0.053
- density (Mg/m³) = 8.25
- final energy (eV per atom) = -5.79
- D(E_F) (states/eV/cell) = 97.83

a b c (Å): 13.883 13.883 13.883
angles (deg): 90.00 90.00 90.00
Space group F-43m (No. 216)
Asymmetric unit:
Nd 0.000 0.000 0.190 (multiplicity 24)
Nd 0.057 0.250 0.750 (multiplicity 24)
Nd 0.100 0.100 0.400 (multiplicity 16)
Cu 0.158 0.158 0.158 (multiplicity 16)
Os 0.111 0.111 0.611 (multiplicity 16)

---

Record 4
This record from Alexandria via LeMat-Bulk describes crystalline NdPaCuOs at its relaxed geometry. The functional is GGA-PBE.

Results
- formation energy from the elements (eV/atom) = -0.017
- density (Mg/m³) = 12.28
- final energy (eV per atom) = -7.41
- D(E_F) (states/eV/cell) = 17.83

a b c (Å): 6.981 6.981 6.981
angles (deg): 90.00 90.00 90.00
Space group F-43m (No. 216)
Asymmetric unit:
Nd 0.000 0.000 0.000 (multiplicity 4)
Pa 0.000 0.000 0.500 (multiplicity 4)
Cu 0.250 0.250 0.750 (multiplicity 4)
Os 0.250 0.250 0.250 (multiplicity 4)